(1)
A relaxed KNbRe2 crystal. Source: Alexandria via LeMat-Bulk, functional PBE.

Unit cell a=4.6788 b=4.6788 c=4.6788 alpha=60.00 beta=60.00 gamma=60.00
With the nearest neighbours (Å) after each atom.
Positions (direct):
1 Re 0.7500 0.7500 0.7500  4 Nb 2.87, 4 K 2.87
2 K 0.0000 0.0000 0.0000  8 Re 2.87
3 Re 0.2500 0.2500 0.2500  4 Nb 2.87, 4 K 2.87
4 Nb 0.5000 0.5000 0.5000  8 Re 2.87

Results
SG: No. 225
ΔE to the lowest computed polymorph in meV/atom: 0
DFT formation energy in eV per atom: 1.559

***

(2)
A relaxed K2NbRe crystal. Source: Alexandria via LeMat-Bulk, functional PBE.

Unit cell a=5.2344 b=5.2344 c=5.2344 alpha=60.00 beta=60.00 gamma=60.00
With the nearest neighbours (Å) after each atom.
Positions (direct):
1 K 0.2500 0.2500 0.2500  4 Re 3.21, 4 Nb 3.21
2 Nb 0.0000 0.0000 0.0000  8 K 3.21
3 Re 0.5000 0.5000 0.5000  8 K 3.21
4 K 0.7500 0.7500 0.7500  4 Re 3.21, 4 Nb 3.21

Results
SG: No. 225
DFT formation energy in eV per atom: 2.738

***

(3)
A relaxed K3NbRe crystal. Source: Alexandria via LeMat-Bulk, functional PBE.

Unit cell a=5.9903 b=5.9903 c=5.9903 alpha=90.00 beta=90.00 gamma=90.00
With the nearest neighbours (Å) after each atom.
Positions (direct):
1 K 0.0000 0.5000 0.0000  2 Re 3.00
2 Nb 0.5000 0.5000 0.5000  12 K 4.24
3 Re 0.0000 0.0000 0.0000  6 K 3.00
4 K 0.5000 0.0000 0.0000  2 Re 3.00
5 K 0.0000 0.0000 0.5000  2 Re 3.00

Results
SG: No. 221
DFT formation energy in eV per atom: 2.844

***

(4)
A relaxed K2NbRe2 crystal. Source: Alexandria via LeMat-Bulk, functional PBE.

Unit cell a=6.4566 b=6.4566 c=6.2085 alpha=90.00 beta=90.00 gamma=90.00
With the nearest neighbours (Å) after each atom.
Positions (direct):
1 K 0.8245 0.3245 0.5000  5 K 3.20-3.37, 2 Re 3.57
2 K 0.6755 0.8245 0.5000  5 K 3.20-3.37, 2 Re 3.57
3 Re 0.8695 0.6305 0.0000  1 Re 2.38, 2 Nb 2.53
4 Nb 0.5000 0.5000 0.0000  4 Re 2.53
5 Nb 0.0000 0.0000 0.0000  4 Re 2.53
6 Re 0.6305 0.1305 0.0000  1 Re 2.38, 2 Nb 2.53
7 Re 0.3695 0.8695 0.0000  1 Re 2.38, 2 Nb 2.53
8 K 0.3245 0.1755 0.5000  5 K 3.20-3.37, 2 Re 3.57
9 K 0.1755 0.6755 0.5000  5 K 3.20-3.37, 2 Re 3.57
10 Re 0.1305 0.3695 0.0000  1 Re 2.38, 2 Nb 2.53

Results
SG: No. 127
ΔE to the lowest computed polymorph in meV/atom: 0
DFT formation energy in eV per atom: 1.183

***

(5)
A relaxed K2NbRe2 crystal. Source: Alexandria via LeMat-Bulk, functional PBE.

Unit cell a=3.8059 b=3.8059 c=8.4509 alpha=76.99 beta=76.99 gamma=90.00
With the nearest neighbours (Å) after each atom.
Positions (direct):
1 Nb 0.0000 0.0000 0.0000  8 Re 2.91
2 K 0.2500 0.7500 0.5000  4 K 2.69
3 K 0.7500 0.2500 0.5000  4 K 2.69
4 Re 0.4310 0.4310 0.1381  1 Re 2.21
5 Re 0.5690 0.5690 0.8619  1 Re 2.21

Results
SG: No. 139
ΔE to the lowest computed polymorph in meV/atom: 306
DFT formation energy in eV per atom: 1.489

***

(6)
A relaxed KNbRe2 crystal. Source: Alexandria via LeMat-Bulk, functional PBE.

Unit cell a=4.9332 b=4.9332 c=9.6008 alpha=75.11 beta=75.11 gamma=90.00
With the nearest neighbours (Å) after each atom.
Positions (direct):
1 Nb 0.7500 0.2500 0.5000  4 Re 2.56
2 Re 0.8307 0.1250 0.2500  2 Re 2.51, 2 Nb 2.56
3 Re 0.9193 0.6250 0.2500  2 Re 2.51, 2 Nb 2.56
4 Re 0.8750 0.0807 0.7500  2 Re 2.51, 2 Nb 2.56
5 Nb 0.0000 0.0000 0.0000  4 Re 2.56
6 Re 0.3750 0.1693 0.7500  2 Re 2.51, 2 Nb 2.56
7 K 0.5000 0.5000 0.0000  8 Re 3.40-3.71, 4 Nb 3.49
8 K 0.2500 0.7500 0.5000  8 Re 3.40-3.71, 4 Nb 3.49

Results
SG: No. 122
ΔE to the lowest computed polymorph in meV/atom: 188
DFT formation energy in eV per atom: 1.748

***

(7)
A relaxed KNb2Re2 crystal. Source: Alexandria via LeMat-Bulk, functional PBE.

Unit cell a=8.6863 b=8.6863 c=2.6550 alpha=90.00 beta=90.00 gamma=90.00
With the nearest neighbours (Å) after each atom.
Positions (direct):
1 K 0.5000 0.5000 0.0000  2 K 2.66
2 Nb 0.3584 0.8584 0.0000  2 Nb 2.66, 6 Re 2.84-2.91
3 Nb 0.1416 0.3584 0.0000  2 Nb 2.66, 6 Re 2.84-2.91
4 K 0.0000 0.0000 0.0000  2 K 2.66
5 Re 0.8527 0.3527 0.5000  2 Re 2.66, 6 Nb 2.84-2.91
6 Re 0.3527 0.1473 0.5000  2 Re 2.66, 6 Nb 2.84-2.91
7 Nb 0.8584 0.6416 0.0000  2 Nb 2.66, 6 Re 2.84-2.91
8 Re 0.6473 0.8527 0.5000  2 Re 2.66, 6 Nb 2.84-2.91
9 Re 0.1473 0.6473 0.5000  2 Re 2.66, 6 Nb 2.84-2.91
10 Nb 0.6416 0.1416 0.0000  2 Nb 2.66, 6 Re 2.84-2.91

Results
SG: No. 127
ΔE to the lowest computed polymorph in meV/atom: 0
DFT formation energy in eV per atom: 0.546

***

(8)
A relaxed KNbRe3 crystal. Source: Alexandria via LeMat-Bulk, functional PBE.

Unit cell a=4.9178 b=4.9178 c=4.9178 alpha=90.00 beta=90.00 gamma=90.00
With the nearest neighbours (Å) after each atom.
Positions (direct):
1 K 0.5000 0.5000 0.5000  12 Re 3.48
2 Nb 0.0000 0.0000 0.0000  6 Re 2.46
3 Re 0.5000 0.0000 0.0000  2 Nb 2.46
4 Re 0.0000 0.5000 0.0000  2 Nb 2.46
5 Re 0.0000 0.0000 0.5000  2 Nb 2.46

Results
SG: No. 221
ΔE to the lowest computed polymorph in meV/atom: 0
DFT formation energy in eV per atom: 2.285

***

(9)
A relaxed K2Nb4Re crystal. Source: Alexandria via LeMat-Bulk, functional PBE.

Unit cell a=5.0185 b=5.0185 c=9.6741 alpha=74.97 beta=74.97 gamma=90.00
With the nearest neighbours (Å) after each atom.
Positions (direct):
1 K 0.3420 0.3420 0.3159  9 Nb 3.59-3.83
2 K 0.6580 0.6580 0.6841  9 Nb 3.59-3.83
3 Nb 0.5000 0.0000 0.0000  2 Re 2.51
4 Nb 0.1294 0.1294 0.7412  1 Re 2.33
5 Re 0.0000 0.0000 0.0000  6 Nb 2.33-2.51
6 Nb 0.0000 0.5000 0.0000  2 Re 2.51
7 Nb 0.8706 0.8706 0.2588  1 Re 2.33

Results
SG: No. 139
DFT formation energy in eV per atom: 1.561

***

(10)
A relaxed KNb2Re2 crystal. Source: Alexandria via LeMat-Bulk, functional PBE.

Unit cell a=4.1934 b=4.1934 c=7.3494 alpha=73.42 beta=73.42 gamma=90.00
With the nearest neighbours (Å) after each atom.
Positions (direct):
1 K 0.0000 0.0000 0.0000  8 Nb 3.49
2 Nb 0.3630 0.3630 0.2741  4 Re 2.59
3 Re 0.7500 0.2500 0.5000  4 Nb 2.59
4 Re 0.2500 0.7500 0.5000  4 Nb 2.59
5 Nb 0.6370 0.6370 0.7259  4 Re 2.59

Results
SG: No. 139
ΔE to the lowest computed polymorph in meV/atom: 231
DFT formation energy in eV per atom: 0.777

***

(11)
A relaxed KNb2ReSi crystal. Source: Alexandria via LeMat-Bulk, functional PBE.

Unit cell a=4.8497 b=5.8010 c=4.8497 alpha=90.00 beta=90.00 gamma=90.00
With the nearest neighbours (Å) after each atom.
Positions (direct):
1 Re 0.0000 0.0000 0.0000  4 Nb 2.42
2 Nb 0.0000 0.0000 0.5000  2 Re 2.42
3 K 0.0000 0.5000 0.0000  2 Re 2.90
4 Si 0.5000 0.5000 0.5000  4 K 3.43, 8 Nb 3.78
5 Nb 0.5000 0.0000 0.0000  2 Re 2.42

Results
SG: No. 123
Energy relative to the elements, uncorrected in eV/f.u.: 8.6

***

(12)
A relaxed KNb3Rh crystal. Source: Alexandria via LeMat-Bulk, functional PBE.

Unit cell a=4.9864 b=4.9864 c=4.9864 alpha=90.00 beta=90.00 gamma=90.00
With the nearest neighbours (Å) after each atom.
Positions (direct):
1 Nb 0.5000 0.0000 0.0000  2 Rh 2.49
2 Rh 0.0000 0.0000 0.0000  6 Nb 2.49
3 Nb 0.0000 0.5000 0.0000  2 Rh 2.49
4 K 0.5000 0.5000 0.5000  12 Nb 3.53
5 Nb 0.0000 0.0000 0.5000  2 Rh 2.49

Results
SG: No. 221
ΔE to the lowest computed polymorph in meV/atom: 0
DFT formation energy in eV per atom: 1.225

***

(13)
A relaxed KNb3Rh crystal. Source: Alexandria via LeMat-Bulk, functional PBE.

Unit cell a=4.5641 b=4.5641 c=4.5641 alpha=90.00 beta=90.00 gamma=90.00
With the nearest neighbours (Å) after each atom.
Positions (direct):
1 K 0.0000 0.0000 0.0000  6 Nb 2.28
2 Nb 0.0000 0.0000 0.5000  2 K 2.28
3 Nb 0.5000 0.0000 0.0000  2 K 2.28
4 Rh 0.5000 0.5000 0.5000  12 Nb 3.23
5 Nb 0.0000 0.5000 0.0000  2 K 2.28

Results
SG: No. 221
ΔE to the lowest computed polymorph in meV/atom: 1374
DFT formation energy in eV per atom: 2.599

***

(14)
A relaxed K2NbRh2S6 crystal. Source: Alexandria via LeMat-Bulk, functional PBE.

Unit cell a=6.3257 b=6.3257 c=7.7145 alpha=97.47 beta=97.47 gamma=123.44
With the nearest neighbours (Å) after each atom.
Positions (direct):
1 S 0.6013 0.9544 0.3268  2 Rh 2.40-2.41, 1 Nb 2.54
2 S 0.0456 0.3987 0.6732  2 Rh 2.40-2.41, 1 Nb 2.54
3 Rh 0.6630 0.3370 0.5000  6 S 2.40-2.44
4 Rh 0.3370 0.6630 0.5000  6 S 2.40-2.44
5 S 0.3987 0.0456 0.6732  2 Rh 2.40-2.41, 1 Nb 2.54
6 K 0.1616 0.8384 0.0000  6 S 3.13-3.17
7 K 0.8384 0.1616 0.0000  6 S 3.13-3.17
8 Nb 0.0000 0.0000 0.5000  6 S 2.50-2.54
9 S 0.9544 0.6013 0.3268  2 Rh 2.40-2.41, 1 Nb 2.54
10 S 0.2851 0.2851 0.3162  2 Rh 2.44, 1 Nb 2.50
11 S 0.7149 0.7149 0.6838  2 Rh 2.44, 1 Nb 2.50

Results
SG: No. 12
Energy relative to the elements, uncorrected in eV/f.u.: -8.7

***

(15)
A relaxed K2NbRhS crystal. Source: Alexandria via LeMat-Bulk, functional PBE.

Unit cell a=5.8676 b=4.7866 c=5.8676 alpha=90.00 beta=90.00 gamma=90.00
With the nearest neighbours (Å) after each atom.
Positions (direct):
1 Rh 0.0000 0.0000 0.0000  2 Nb 2.39
2 S 0.5000 0.5000 0.5000  8 K 3.79, 4 Nb 4.15
3 K 0.5000 0.0000 0.0000  2 Rh 2.93
4 K 0.0000 0.0000 0.5000  2 Rh 2.93
5 Nb 0.0000 0.5000 0.0000  2 Rh 2.39

Results
SG: No. 123
Energy relative to the elements, uncorrected in eV/f.u.: 3.8

***

(16)
A relaxed K3NbRh3Se8 crystal. Source: Alexandria via LeMat-Bulk, functional PBE.

Unit cell a=7.6224 b=7.6362 c=8.6690 alpha=116.25 beta=90.00 gamma=119.94
With the nearest neighbours (Å) after each atom.
Positions (direct):
1 K 0.0000 0.5000 0.0000  6 Se 3.27-3.32
2 Rh 0.5000 0.5000 0.5000  6 Se 2.53-2.55
3 Nb 0.0000 0.0000 0.5000  6 Se 2.65-2.66
4 Se 0.7665 0.5331 0.3189  2 Rh 2.55, 1 Nb 2.66
5 Se 0.7670 0.0525 0.3191  2 Rh 2.55, 1 Nb 2.65
6 Se 0.2775 0.5550 0.3326  3 Rh 2.53
7 Se 0.2330 0.9475 0.6809  2 Rh 2.55, 1 Nb 2.65
8 Se 0.2335 0.4669 0.6811  2 Rh 2.55, 1 Nb 2.66
9 K 0.5000 0.5000 0.0000  6 Se 3.27-3.32
10 Rh 0.5000 0.0000 0.5000  6 Se 2.53-2.55
11 K 0.0000 0.0000 0.0000  6 Se 3.27-3.32
12 Se 0.7145 0.9475 0.6809  2 Rh 2.55, 1 Nb 2.65
13 Se 0.7225 0.4450 0.6674  3 Rh 2.53
14 Se 0.2855 0.0525 0.3191  2 Rh 2.55, 1 Nb 2.65
15 Rh 0.0000 0.5000 0.5000  6 Se 2.53-2.55

Results
SG: No. 12
Energy relative to the elements, uncorrected in eV/f.u.: -10.4

***

(17)
A relaxed K2Nb2RhSe6 crystal. Source: Alexandria via LeMat-Bulk, functional PBE.

Unit cell a=6.4456 b=6.4456 c=8.2477 alpha=96.27 beta=96.27 gamma=121.23
With the nearest neighbours (Å) after each atom.
Positions (direct):
1 K 0.8204 0.1796 0.0000  6 Se 3.25-3.35, 2 K 3.54
2 Se 0.6196 0.9613 0.3256  1 Rh 2.58, 2 Nb 2.61-2.79
3 K 0.1796 0.8204 0.0000  6 Se 3.25-3.35, 2 K 3.54
4 Nb 0.3659 0.6341 0.5000  6 Se 2.56-2.79
5 Rh 0.0000 0.0000 0.5000  6 Se 2.58-2.62
6 Nb 0.6341 0.3659 0.5000  6 Se 2.56-2.79
7 Se 0.7473 0.7473 0.7127  2 Nb 2.56, 1 Rh 2.62
8 Se 0.2527 0.2527 0.2873  2 Nb 2.56, 1 Rh 2.62
9 Se 0.3804 0.0387 0.6744  1 Rh 2.58, 2 Nb 2.61-2.79
10 Se 0.0387 0.3804 0.6744  1 Rh 2.58, 2 Nb 2.61-2.79
11 Se 0.9613 0.6196 0.3256  1 Rh 2.58, 2 Nb 2.61-2.79

Results
SG: No. 12
Energy relative to the elements, uncorrected in eV/f.u.: -8.9

***

(18)
A relaxed KNb2SiRh crystal. Source: Alexandria via LeMat-Bulk, functional PBE.

Unit cell a=4.8705 b=4.5901 c=4.8705 alpha=90.00 beta=90.00 gamma=90.00
With the nearest neighbours (Å) after each atom.
Positions (direct):
1 K 0.5000 0.5000 0.5000  8 Nb 3.35, 4 Rh 3.44
2 Si 0.0000 0.0000 0.0000  2 Rh 2.30, 4 Nb 2.44
3 Nb 0.5000 0.0000 0.0000  2 Si 2.44
4 Nb 0.0000 0.0000 0.5000  2 Si 2.44
5 Rh 0.0000 0.5000 0.0000  2 Si 2.30

Results
SG: No. 123
Energy relative to the elements, uncorrected in eV/f.u.: 4.2

***

(19)
A relaxed KNbTe3Rh crystal. Source: Alexandria via LeMat-Bulk, functional PBE.

Unit cell a=3.8829 b=9.1281 c=10.7138 alpha=115.28 beta=90.00 gamma=90.00
With the nearest neighbours (Å) after each atom.
Positions (direct):
1 Nb 0.2500 0.7212 0.1744  6 Te 2.75-2.93, 2 Rh 2.91
2 Nb 0.7500 0.2788 0.8256  6 Te 2.75-2.93, 2 Rh 2.91
3 Te 0.7500 0.4619 0.1257  3 Nb 2.92-2.93
4 Rh 0.7500 0.9172 0.3798  4 Te 2.64-2.69, 2 Nb 2.91
5 Te 0.7500 0.9141 0.1303  1 Rh 2.66, 2 Nb 2.79
6 K 0.7500 0.7334 0.7164  6 Te 3.51-3.61, 2 K 3.88
7 Te 0.2500 0.7661 0.4451  3 Rh 2.64-2.69, 1 Nb 2.75
8 Te 0.7500 0.2339 0.5549  3 Rh 2.64-2.69, 1 Nb 2.75
9 Rh 0.2500 0.0828 0.6202  4 Te 2.64-2.69, 2 Nb 2.91
10 Te 0.2500 0.5381 0.8743  3 Nb 2.92-2.93
11 K 0.2500 0.2666 0.2836  6 Te 3.51-3.61, 2 K 3.88
12 Te 0.2500 0.0859 0.8697  1 Rh 2.66, 2 Nb 2.79

Results
SG: No. 11
Energy relative to the elements, uncorrected in eV/f.u.: -3.5

***

(20)
A relaxed K3NbRu crystal. Source: Alexandria via LeMat-Bulk, functional PBE.

Unit cell a=6.5197 b=6.5197 c=6.5197 alpha=90.00 beta=90.00 gamma=90.00
With the nearest neighbours (Å) after each atom.
Positions (direct):
1 K 0.0000 0.5000 0.0000  2 Nb 3.26
2 Nb 0.0000 0.0000 0.0000  6 K 3.26
3 K 0.5000 0.0000 0.0000  2 Nb 3.26
4 Ru 0.5000 0.5000 0.5000  12 K 4.61
5 K 0.0000 0.0000 0.5000  2 Nb 3.26

Results
SG: No. 221
ΔE to the lowest computed polymorph in meV/atom: 0
DFT formation energy in eV per atom: 2.100

***

How do the records compare in size of the total moment? In the order shown, they have 0.00, 0.00, 0.00, 0.00, 0.87, 0.00, 0.00, 3.72, 1.05, 0.00, 0.00, 0.00, 0.00, 1.04, 1.97, 0.91, 0.99, 0.18, 0.00, 8.00 μB/cell.